DFT (PBE) results for Ba2SiCl after structural relaxation.

a = 4.9855 Å, b = 25.0520 Å, c = 4.2227 Å
α = 90.00°, β = 90.00°, γ = 90.00°
Space group Cmcm (No. 63)
One atom of each set of equivalent atoms:
Ba (0.0000, 0.0650, 0.2500) x4
Ba (0.0000, 0.3200, 0.2500) x4
Si (0.0000, 0.4708, 0.2500) x4
Cl (0.0000, 0.1914, 0.2500) x4

Crystal system: orthorhombic
Total energy: -3.848 eV/atom
Energy relative to the elements, uncorrected: -1.070 eV per atom
Relative energy among the computed polymorphs: 0 meV/atom

DFT (PBE) results for ScAlCl2 after structural relaxation.

a = 3.2861 Å, b = 5.3180 Å, c = 12.6930 Å
α = 90.00°, β = 90.00°, γ = 90.00°
Space group Immm (No. 71)
One atom of each set of equivalent atoms:
Sc (0.0000, 0.0000, 0.0000) x2
Al (0.0000, 0.0000, 0.5000) x2
Cl (0.0000, 0.5000, 0.3463) x4

Crystal system: orthorhombic
Total energy: -4.397 eV/atom
Energy relative to the elements, uncorrected: -0.955 eV per atom
Relative energy among the computed polymorphs: 75 meV/atom

DFT (PBE) results for Mg2MoPt9 after structural relaxation.

a = 3.9602 Å, b = 3.9602 Å, c = 11.8871 Å
α = 90.00°, β = 90.00°, γ = 90.00°
Space group P4/mmm (No. 123)
One atom of each set of equivalent atoms:
Mg (0.0000, 0.0000, 0.1626) x2
Mo (0.0000, 0.0000, 0.5000) x1
Pt (0.0000, 0.5000, 0.0000) x2
Pt (0.0000, 0.5000, 0.3372) x4
Pt (0.5000, 0.5000, 0.1674) x2
Pt (0.5000, 0.5000, 0.5000) x1

Crystal system: tetragonal
Total energy: -6.218 eV/atom
Energy of formation: -0.519 eV per atom

DFT (PBE) results for Pr6P2SCl3 after structural relaxation.

a = 18.3659 Å, b = 4.1996 Å, c = 8.3845 Å
α = 90.00°, β = 104.78°, γ = 90.00°
Space group C2/m (No. 12)
One atom of each set of equivalent atoms:
Pr (0.0069, 0.0000, 0.2277) x4
Pr (0.1581, 0.5000, 0.1028) x4
Pr (0.1745, 0.5000, 0.5648) x4
P (0.1657, 0.0000, 0.3329) x4
S (0.0000, 0.5000, 0.0000) x2
Cl (0.0000, 0.5000, 0.5000) x2
Cl (0.1694, 0.0000, 0.8356) x4

Crystal system: monoclinic
Total energy: -5.749 eV/atom
Energy relative to the elements, uncorrected: -1.652 eV per atom

DFT (PBE) results for HoBiS2 after structural relaxation.

a = 3.8885 Å, b = 3.8885 Å, c = 25.8136 Å
α = 90.00°, β = 90.00°, γ = 120.00°
Space group R-3m (No. 166, hexagonal axes)
One atom of each set of equivalent atoms:
Ho (0.0000, 0.0000, 0.0000) x3
Bi (0.0000, 0.0000, 0.5000) x3
S (0.0000, 0.0000, 0.3918) x6

Crystal system: trigonal
Total energy: -5.458 eV/atom
Energy relative to the elements, uncorrected: -1.280 eV per atom

DFT (PBE) results for ZnCd2SiRu after structural relaxation.

a = 4.8384 Å, b = 4.8384 Å, c = 4.6938 Å
α = 90.00°, β = 90.00°, γ = 90.00°
Space group P4/mmm (No. 123)
One atom of each set of equivalent atoms:
Zn (0.0000, 0.0000, 0.0000) x1
Cd (0.0000, 0.5000, 0.0000) x2
Si (0.5000, 0.5000, 0.5000) x1
Ru (0.0000, 0.0000, 0.5000) x1

Crystal system: tetragonal
Total energy: -2.520 eV/atom
Energy relative to the elements, uncorrected: 1.041 eV per atom

DFT (PBE) results for TcPt6Rh3 after structural relaxation.

a = 9.1452 Å, b = 13.7864 Å, c = 5.0831 Å
α = 90.00°, β = 90.00°, γ = 90.00°
Space group Cmc2_1 (No. 36)
One atom of each set of equivalent atoms:
Tc (0.0000, 0.2336, 0.0000) x4
Pt (0.0000, 0.0283, 0.1464) x4
Pt (0.0000, 0.1763, 0.4870) x4
Pt (0.1420, 0.4566, 0.9303) x8
Pt (0.2328, 0.2928, 0.7274) x8
Rh (0.0000, 0.3678, 0.3742) x4
Rh (0.1947, 0.1041, 0.8190) x8

Crystal system: orthorhombic
Total energy: -6.668 eV/atom
Energy of formation: 0.199 eV per atom
Relative energy among the computed polymorphs: 167 meV/atom

DFT (PBE) results for LaY2Re after structural relaxation.

a = 3.4775 Å, b = 3.4775 Å, c = 9.4050 Å
α = 90.00°, β = 90.00°, γ = 90.00°
Space group P4mm (No. 99)
One atom of each set of equivalent atoms:
La (0.0000, 0.0000, 0.0000) x1
Y (0.0000, 0.0000, 0.3678) x1
Y (0.5000, 0.5000, 0.6748) x1
Re (0.5000, 0.5000, 0.1872) x1

Crystal system: tetragonal
Total energy: -7.337 eV/atom
Energy of formation: 0.239 eV per atom
Relative energy among the computed polymorphs: 69 meV/atom

DFT (PBE) results for CrFe2Ir after structural relaxation.

a = 2.8486 Å, b = 4.2891 Å, c = 8.3415 Å
α = 90.00°, β = 90.00°, γ = 90.00°
Space group Cmmm (No. 65)
One atom of each set of equivalent atoms:
Cr (0.0000, 0.0000, 0.0000) x2
Fe (0.0000, 0.5000, 0.2378) x4
Ir (0.0000, 0.0000, 0.5000) x2

Crystal system: orthorhombic
Total energy: -8.693 eV/atom
Energy of formation: 0.160 eV per atom

DFT (PBE) results for TmHg5Pb2 after structural relaxation.

a = 4.6795 Å, b = 4.6795 Å, c = 19.1245 Å
α = 90.00°, β = 90.00°, γ = 90.00°
Space group I4/mmm (No. 139)
One atom of each set of equivalent atoms:
Tm (0.0000, 0.0000, 0.0000) x2
Hg (0.0000, 0.0000, 0.5000) x2
Hg (0.0000, 0.5000, 0.1154) x8
Pb (0.0000, 0.0000, 0.2348) x4

Crystal system: tetragonal
Total energy: -1.819 eV/atom
Energy of formation: -0.144 eV per atom

DFT (PBE) results for LaDyUN3 after structural relaxation.

a = 6.0481 Å, b = 3.5205 Å, c = 9.1759 Å
α = 90.00°, β = 102.26°, γ = 90.00°
Space group P2_1/m (No. 11)
One atom of each set of equivalent atoms:
La (0.1493, 0.2500, 0.1878) x2
Dy (0.3609, 0.2500, 0.8590) x2
U (0.2637, 0.7500, 0.5421) x2
N (0.0480, 0.2500, 0.6378) x2
N (0.2570, 0.7500, 0.0025) x2
N (0.4649, 0.7500, 0.3660) x2

Crystal system: monoclinic
Total energy: -8.982 eV/atom
Energy relative to the elements, uncorrected: -1.350 eV per atom

DFT (PBE) results for Sr2FeMo after structural relaxation.

a = 3.3482 Å, b = 3.6358 Å, c = 18.1966 Å
α = 90.00°, β = 90.00°, γ = 90.00°
Space group Immm (No. 71)
One atom of each set of equivalent atoms:
Sr (0.0000, 0.0000, 0.1473) x4
Fe (0.0000, 0.5000, 0.5000) x2
Mo (0.0000, 0.5000, 0.0000) x2

Crystal system: orthorhombic
Total energy: -5.021 eV/atom
Energy of formation: 0.644 eV per atom
Relative energy among the computed polymorphs: 73 meV/atom

DFT (PBE) results for CuIF3 after structural relaxation.

a = 4.1986 Å, b = 4.1986 Å, c = 4.1986 Å
α = 90.00°, β = 90.00°, γ = 90.00°
Space group Pm-3m (No. 221)
One atom of each set of equivalent atoms:
Cu (0.0000, 0.0000, 0.0000) x1
I (0.5000, 0.5000, 0.5000) x1
F (0.0000, 0.0000, 0.5000) x3

Crystal system: cubic
Total energy: -3.104 eV/atom
Energy relative to the elements, uncorrected: -0.852 eV per atom
Relative energy among the computed polymorphs: 296 meV/atom